A relaxed structure of CdRe2F, computed with GGA-PBE.

abc: 4.4161 4.4161 4.4161
angles: 60.00 60.00 60.00
Last column: nearest neighbours and their distance in Å.
Element x y z (fractional)
Cd: 0.0000 0.0000 0.0000  8 Re 2.70
Re: 0.2500 0.2500 0.2500  4 F 2.70, 4 Cd 2.70
Re: 0.7500 0.7500 0.7500  4 F 2.70, 4 Cd 2.70
F: 0.5000 0.5000 0.5000  8 Re 2.70

## Properties
raw formation energy = 118.4 kJ per mole of atoms
spin magnetization = 0.868 μB per formula unit
space-group type = Fm-3m, No. 225
E above lowest polymorph = 865 meV/atom
VASP energy = -0.4184 Ry/atom

---

A relaxed structure of V2BMo, computed with GGA-PBE.

abc: 4.6322 4.6322 7.0253
angles: 90.00 90.00 140.73
Last column: nearest neighbours and their distance in Å.
Element x y z (fractional)
V: 0.1495 0.8505 0.5557  3 B 2.23-2.34, 2 V 2.47
V: 0.1495 0.8505 0.9443  3 B 2.23-2.34, 2 V 2.47
V: 0.8505 0.1495 0.0557  3 B 2.23-2.34, 2 V 2.47
V: 0.8505 0.1495 0.4443  3 B 2.23-2.34, 2 V 2.47
B: 0.2555 0.7445 0.2500  6 V 2.23-2.34, 2 Mo 2.40
B: 0.7445 0.2555 0.7500  6 V 2.23-2.34, 2 Mo 2.40
Mo: 0.4540 0.5460 0.7500  3 B 2.40-2.53, 4 V 2.68
Mo: 0.5460 0.4540 0.2500  3 B 2.40-2.53, 4 V 2.68

## Properties
energy of formation = -395 meV per atom
spin magnetization = 0.000 μB per formula unit
space-group type = Cmcm, No. 63
VASP energy = -0.6858 Ry/atom

---

A relaxed structure of TbTl2F11, computed with GGA-PBE.

abc: 8.6273 8.6273 8.6273
angles: 122.29 106.42 100.56
Last column: nearest neighbours and their distance in Å.
Element x y z (fractional)
Tb: 0.2500 0.2500 0.0000  8 F 2.29
Tb: 0.7500 0.7500 0.0000  8 F 2.29
Tl: 0.1920 0.6672 0.8592  7 F 2.18-2.42
Tl: 0.3080 0.1672 0.4752  7 F 2.18-2.42
Tl: 0.6920 0.8328 0.5248  7 F 2.18-2.42
Tl: 0.8080 0.3328 0.1408  7 F 2.18-2.42
F: 0.0000 0.5000 0.5000  2 F 2.13
F: 0.0272 0.9571 0.2745  1 Tl 2.20, 1 Tb 2.29
F: 0.0605 0.3415 0.1355  1 Tl 2.18, 1 Tb 2.29
F: 0.1826 0.4571 0.9299  1 Tl 2.20, 1 Tb 2.29
F: 0.1886 0.3960 0.5847  1 F 2.13, 2 Tl 2.26-2.27
F: 0.2060 0.9251 0.8645  1 Tl 2.18, 1 Tb 2.29
F: 0.2940 0.1585 0.7191  1 Tl 2.18, 1 Tb 2.29
F: 0.3114 0.8960 0.2074  1 F 2.13, 2 Tl 2.26-2.27
F: 0.3174 0.2473 0.2745  1 Tl 2.20, 1 Tb 2.29
F: 0.4395 0.5749 0.2809  1 Tl 2.18, 1 Tb 2.29
F: 0.4728 0.7473 0.9299  1 Tl 2.20, 1 Tb 2.29
F: 0.5000 0.0000 0.5000  2 F 2.13
F: 0.5272 0.2527 0.0701  1 Tl 2.20, 1 Tb 2.29
F: 0.5605 0.4251 0.7191  1 Tl 2.18, 1 Tb 2.29
F: 0.6826 0.7527 0.7255  1 Tl 2.20, 1 Tb 2.29
F: 0.6886 0.1040 0.7926  1 F 2.13, 2 Tl 2.26-2.27
F: 0.7060 0.8415 0.2809  1 Tl 2.18, 1 Tb 2.29
F: 0.7940 0.0749 0.1355  1 Tl 2.18, 1 Tb 2.29
F: 0.8114 0.6040 0.4153  1 F 2.13, 2 Tl 2.26-2.27
F: 0.8174 0.5429 0.0701  1 Tl 2.20, 1 Tb 2.29
F: 0.9395 0.6585 0.8645  1 Tl 2.18, 1 Tb 2.29
F: 0.9728 0.0429 0.7255  1 Tl 2.20, 1 Tb 2.29

## Properties
raw formation energy = -203.7 kJ per mole of atoms
spin magnetization = 2.184 μB per formula unit
space-group type = Ibam, No. 72
VASP energy = -0.3124 Ry/atom

---

A relaxed structure of Ca2Mg2Cu, computed with GGA-PBE.

abc: 6.6379 6.6379 6.6379
angles: 149.60 112.96 75.37
Last column: nearest neighbours and their distance in Å.
Element x y z (fractional)
Ca: 0.2471 0.2471 0.0000  2 Cu 3.13, 2 Mg 3.35, 2 Ca 3.48
Ca: 0.7529 0.7529 0.0000  2 Cu 3.13, 2 Mg 3.35, 2 Ca 3.48
Mg: 0.2886 0.0000 0.2886  2 Cu 2.74
Mg: 0.7114 0.0000 0.7114  2 Cu 2.74
Cu: 0.0000 0.5000 0.5000  4 Mg 2.74

## Properties
energy of formation = -38 meV per atom
spin magnetization = 0.000 μB per formula unit
space-group type = Immm, No. 71
E above lowest polymorph = 46 meV/atom
VASP energy = -0.1688 Ry/atom

---

- Look up the spin magnetization of the second one.
  0.000 μB per formula unit

---

- Among the records above, which one has the lowest VASP energy?
  V2BMo

---

Repeat the second record exactly.
A relaxed structure of V2BMo, computed with GGA-PBE.

abc: 4.6322 4.6322 7.0253
angles: 90.00 90.00 140.73
Last column: nearest neighbours and their distance in Å.
Element x y z (fractional)
V: 0.1495 0.8505 0.5557  3 B 2.23-2.34, 2 V 2.47
V: 0.1495 0.8505 0.9443  3 B 2.23-2.34, 2 V 2.47
V: 0.8505 0.1495 0.0557  3 B 2.23-2.34, 2 V 2.47
V: 0.8505 0.1495 0.4443  3 B 2.23-2.34, 2 V 2.47
B: 0.2555 0.7445 0.2500  6 V 2.23-2.34, 2 Mo 2.40
B: 0.7445 0.2555 0.7500  6 V 2.23-2.34, 2 Mo 2.40
Mo: 0.4540 0.5460 0.7500  3 B 2.40-2.53, 4 V 2.68
Mo: 0.5460 0.4540 0.2500  3 B 2.40-2.53, 4 V 2.68

## Properties
energy of formation = -395 meV per atom
spin magnetization = 0.000 μB per formula unit
space-group type = Cmcm, No. 63
VASP energy = -0.6858 Ry/atom

---

- What is the spin magnetization in the first record?
  0.868 μB per formula unit